# 1
DFT (PBE) results for crystalline Li2TiCu2Te4 at its relaxed geometry.

Geometry as POSCAR:
```
Li2TiCu2Te4
1.0
-0.157 3.471 -1.847
0.950 -3.745 -7.120
-6.867 -0.722 3.417
Li Te Cu Ti
2 4 2 1
Direct
0.873 0.294 0.746
0.127 0.706 0.254
0.492 0.741 0.983
0.785 0.779 0.570
0.508 0.259 0.017
0.215 0.221 0.430
0.683 0.983 0.367
0.317 0.017 0.633
0.000 0.000 0.000
```

Results
**D(E_F)**: 1.92 states/eV/f.u.
**Volume**: 23.335 Å³/atom
**Final energy**: -37.434 eV/f.u.
**Symmetry**: C2/m
**Formation energy from raw total energies**: -550 meV per atom
**Size of the total moment**: 0.00 μB/cell

# 2
DFT (PBE) results for crystalline LiRePO2 at its relaxed geometry.

Geometry as POSCAR:
```
LiRePO2
1.0
3.569 0.000 0.000
0.000 3.569 0.000
0.000 0.000 4.272
O Re Li P
2 1 1 1
Direct
0.500 0.000 0.000
0.000 0.500 0.000
0.500 0.500 0.500
0.000 0.000 0.000
0.000 0.000 0.500
```

Results
**Energy relative to the lowest polymorph listed for this composition**: 1488.5 meV/atom
**D(E_F)**: 3.38 states/eV/f.u.
**Volume**: 10.885 Å³/atom
**Final energy**: -26.909 eV/f.u.
**Symmetry**: P4/mmm
**Formation energy from raw total energies**: 556 meV per atom
**Size of the total moment**: 1.12 μB/cell

# 3
DFT (PBE) results for crystalline TcHg2Ru at its relaxed geometry.

Geometry as POSCAR:
```
TcHg2Ru
1.0
-1.097 -1.811 -2.060
2.589 -3.754 1.920
-3.735 -1.075 2.934
Ru Tc Hg
1 1 2
Direct
0.500 0.000 0.500
0.000 0.500 0.500
0.500 0.500 0.000
0.000 0.000 0.000
```

Results
**Energy relative to the lowest polymorph listed for this composition**: 500.5 meV/atom
**Formation enthalpy at 0 K**: 0.7537 eV per atom
**D(E_F)**: 3.82 states/eV/f.u.
**Volume**: 17.796 Å³/atom
**Final energy**: -17.231 eV/f.u.
**Symmetry**: Pmmm
**Size of the total moment**: 1.73 μB/cell

# 4
DFT (PBE) results for crystalline NaDyRhF6 at its relaxed geometry.

Geometry as POSCAR:
```
NaDyRhF6
1.0
5.664 0.000 0.000
-2.832 4.905 0.000
0.000 0.000 9.965
F Na Dy Rh
12 2 2 2
Direct
0.653 0.657 0.633
0.347 0.004 0.133
0.653 0.996 0.867
0.657 0.653 0.133
0.004 0.347 0.633
0.343 0.996 0.633
0.996 0.653 0.367
0.657 0.004 0.367
0.004 0.657 0.867
0.996 0.343 0.133
0.347 0.343 0.367
0.343 0.347 0.867
0.000 0.000 0.000
0.000 0.000 0.500
0.333 0.667 0.250
0.667 0.333 0.750
0.667 0.333 0.250
0.333 0.667 0.750
```

Results
**D(E_F)**: 6.67 states/eV/f.u.
**Volume**: 15.383 Å³/atom
**Final energy**: -49.067 eV/f.u.
**Symmetry**: P-31c
**Formation energy from raw total energies**: -2730 meV per atom
**Size of the total moment**: 2.00 μB/cell

# 5
DFT (PBE) results for crystalline Na2LaNdTe4 at its relaxed geometry.

Geometry as POSCAR:
```
Na2LaNdTe4
1.0
4.602 0.000 0.000
0.000 7.967 0.136
0.000 -2.781 7.488
Te Na Nd La
4 2 1 1
Direct
0.000 0.750 0.241
0.500 0.243 0.240
0.500 0.757 0.760
0.000 0.250 0.759
0.000 0.500 0.500
0.500 0.000 0.500
0.000 0.000 0.000
0.500 0.500 0.000
```

Results
**Volume**: 34.536 Å³/atom
**Final energy**: -35.840 eV/f.u.
**Symmetry**: P2/m
**Formation energy from raw total energies**: -1368 meV per atom
**Size of the total moment**: 0.00 μB/cell

# 6
DFT (PBE) results for crystalline Tb3Sm2In at its relaxed geometry.

Geometry as POSCAR:
```
Tb3Sm2In
1.0
-1.735 1.679 -4.282
-2.393 -4.213 -0.682
-4.883 4.979 3.931
Sm Tb In
2 3 1
Direct
0.000 0.662 0.324
0.000 0.338 0.676
0.500 0.165 0.330
0.500 0.500 0.000
0.500 0.835 0.670
0.000 0.000 0.000
```

Results
**Energy relative to the lowest polymorph listed for this composition**: 0.0 meV/atom
**Formation enthalpy at 0 K**: -0.1529 eV per atom
**D(E_F)**: 7.39 states/eV/f.u.
**Volume**: 30.554 Å³/atom
**Final energy**: -26.985 eV/f.u.
**Symmetry**: Cmmm
**Size of the total moment**: 0.00 μB/cell

# 7
DFT (PBE) results for crystalline HgPd5Au3 at its relaxed geometry.

Geometry as POSCAR:
```
HgPd5Au3
1.0
5.559 -0.454 -0.354
1.085 5.471 -0.354
1.666 1.258 11.184
Hg Pd Au
2 10 6
Direct
0.057 0.057 0.735
0.943 0.943 0.265
0.579 0.014 0.673
0.293 0.293 0.875
0.480 0.480 0.296
0.520 0.520 0.704
0.669 0.331 0.000
0.331 0.669 0.000
0.986 0.421 0.327
0.707 0.707 0.125
0.014 0.579 0.673
0.421 0.986 0.327
0.000 0.000 0.500
0.327 0.327 0.515
0.000 0.000 0.000
0.673 0.673 0.485
0.743 0.743 0.868
0.257 0.257 0.132
```

Results
**Formation enthalpy at 0 K**: 0.2591 eV per atom
**D(E_F)**: 9.18 states/eV/f.u.
**Volume**: 19.507 Å³/atom
**Final energy**: -33.766 eV/f.u.
**Symmetry**: C2/m
**Size of the total moment**: 0.00 μB/cell

# 8
DFT (PBE) results for crystalline LaPrSmCu at its relaxed geometry.

Geometry as POSCAR:
```
LaPrSmCu
1.0
-0.848 1.185 -3.345
-3.392 0.739 1.122
2.547 8.240 2.275
Pr Cu La Sm
1 1 1 1
Direct
0.000 0.000 0.063
0.000 0.000 0.582
0.500 0.500 0.375
0.500 0.500 0.764
```

Results
**Formation enthalpy at 0 K**: -0.0633 eV per atom
**D(E_F)**: 4.64 states/eV/f.u.
**Volume**: 29.684 Å³/atom
**Final energy**: -18.775 eV/f.u.
**Symmetry**: P4mm
**Size of the total moment**: 0.00 μB/cell